w) A plane-wave DFT calculation with PBE with a Hubbard U was carried out for a geometry-optimized TlVP2O structure.

POSCAR file:
```
TlVP2O
1.0
5.118 0.000 0.000
0.000 5.118 0.000
0.000 0.000 4.113
P Tl O V
2 1 1 1
Direct
0.000 0.500 0.000
0.500 0.000 0.000
0.000 0.000 0.000
0.000 0.000 0.500
0.500 0.500 0.500
```

Computed properties:
Total magnetic moment: 0.68 μB per cell

x) A plane-wave DFT calculation with PBE with a Hubbard U was carried out for a geometry-optimized TlVP2O structure.

POSCAR file:
```
TlVP2O
1.0
-0.573 2.787 -3.933
-3.520 -2.948 -1.576
-2.501 2.025 1.799
P Tl O V
2 1 1 1
Direct
0.000 0.500 0.000
0.500 0.000 0.000
0.500 0.500 0.500
0.000 0.000 0.500
0.000 0.000 0.000
```

Computed properties:
Total magnetic moment: 0.00 μB per cell

What should be chosen as the most stable of them? Choose x).